1.
Material: Rb2TlI4
Method: DFT, PBE-GGA
State: optimized geometry

Summary:
**Total magnetic moment**: 0.0 μB per formula unit
**E_form (uncorrected)**: -6.833 eV/f.u.

a b c (Å): 6.1667 6.1667 10.4472
angles (deg): 72.83 72.83 90.00
With the nearest neighbours (Å) after each atom.
Fractional coordinates of all 7 atoms:
Rb (0.3609, 0.3609, 0.2782)  5 I 3.63-4.06
Rb (0.6391, 0.6391, 0.7218)  5 I 3.63-4.06
I (0.1697, 0.1697, 0.6606)  1 Tl 3.22
I (0.5000, 0.0000, 0.0000)  2 Tl 3.08
I (0.0000, 0.5000, 0.0000)  2 Tl 3.08
I (0.8303, 0.8303, 0.3394)  1 Tl 3.22
Tl (0.0000, 0.0000, 0.0000)  6 I 3.08-3.22



2.
Material: SrPdI2N
Method: DFT, PBE-GGA
State: optimized geometry

Summary:
**Total magnetic moment**: 0.0 μB per formula unit
**E_form (uncorrected)**: -0.685 eV/f.u.

a b c (Å): 5.9616 5.9616 3.8676
angles (deg): 90.00 90.00 90.00
With the nearest neighbours (Å) after each atom.
Fractional coordinates of all 5 atoms:
Pd (0.0000, 0.0000, 0.0000)  2 N 1.93
Sr (0.5000, 0.5000, 0.5000)  8 I 3.55, 2 Sr 3.87
I (0.0000, 0.5000, 0.0000)  2 Pd 2.98
I (0.5000, 0.0000, 0.0000)  2 Pd 2.98
N (0.0000, 0.0000, 0.5000)  2 Pd 1.93



3.
Material: AlZnIrW2
Method: DFT, PBE-GGA
State: optimized geometry

Summary:
**Calculated formation energy**: 1652 meV per atom
**Total magnetic moment**: 1.2 μB per formula unit

a b c (Å): 4.5669 4.2297 4.5669
angles (deg): 90.00 90.00 90.00
With the nearest neighbours (Å) after each atom.
Fractional coordinates of all 5 atoms:
Ir (0.5000, 0.5000, 0.5000)  8 W 3.11, 4 Al 3.23
W (0.5000, 0.0000, 0.0000)  2 Zn 2.28
W (0.0000, 0.0000, 0.5000)  2 Zn 2.28
Al (0.0000, 0.5000, 0.0000)  2 Zn 2.11
Zn (0.0000, 0.0000, 0.0000)  2 Al 2.11, 4 W 2.28



4.
Material: LiSiIr2
Method: DFT, PBE-GGA
State: optimized geometry

Summary:
**Total magnetic moment**: 0.0 μB per formula unit
**E_form (uncorrected)**: -0.363 eV/f.u.

a b c (Å): 7.0462 7.0462 5.5844
angles (deg): 50.88 50.88 90.00
With the nearest neighbours (Å) after each atom.
Fractional coordinates of all 8 atoms:
Ir (0.6881, 0.1250, 0.2500)  2 Si 2.29
Ir (0.0619, 0.6250, 0.2500)  2 Si 2.29
Ir (0.8750, 0.9381, 0.7500)  2 Si 2.29
Ir (0.3750, 0.3119, 0.7500)  2 Si 2.29
Li (0.2500, 0.7500, 0.5000)  2 Si 2.52
Li (0.5000, 0.5000, 0.0000)  2 Si 2.52
Si (0.7500, 0.2500, 0.5000)  4 Ir 2.29, 2 Li 2.52
Si (0.0000, 0.0000, 0.0000)  4 Ir 2.29, 2 Li 2.52



5.
Material: Mg2PbW
Method: DFT, PBE-GGA
State: optimized geometry

Summary:
**Calculated formation energy**: 559 meV per atom
**Total magnetic moment**: 0.0 μB per formula unit

a b c (Å): 5.8186 5.8186 5.8186
angles (deg): 146.01 132.52 59.67
With the nearest neighbours (Å) after each atom.
Fractional coordinates of all 4 atoms:
W (0.2500, 0.7500, 0.5000)  4 Pb 2.89, 4 Mg 2.93
Mg (0.4858, 0.4858, 0.0000)  4 Mg 2.91, 2 W 2.93, 2 Pb 3.16
Mg (0.0142, 0.0142, 0.0000)  4 Mg 2.91, 2 W 2.93, 2 Pb 3.16
Pb (0.7500, 0.2500, 0.5000)  4 W 2.89, 4 Mg 3.16



6.
Material: SmHfIn2
Method: DFT, PBE-GGA
State: optimized geometry

Summary:
**Calculated formation energy**: -207 meV per atom
**Total magnetic moment**: 0.0 μB per formula unit

a b c (Å): 3.8111 3.8111 6.8352
angles (deg): 90.00 90.00 90.00
With the nearest neighbours (Å) after each atom.
Fractional coordinates of all 4 atoms:
Hf (0.5000, 0.5000, 0.0000)  8 In 3.10, 2 Sm 3.42
In (0.0000, 0.0000, 0.7762)  1 In 3.06, 4 Hf 3.10, 4 Sm 3.29
In (0.0000, 0.0000, 0.2238)  1 In 3.06, 4 Hf 3.10, 4 Sm 3.29
Sm (0.5000, 0.5000, 0.5000)  8 In 3.29, 2 Hf 3.42



7.
Material: CsK2GaAu
Method: DFT, PBE-GGA
State: optimized geometry

Summary:
**Calculated formation energy**: -34 meV per atom
**Total magnetic moment**: 0.0 μB per formula unit

a b c (Å): 6.7466 6.7466 4.9646
angles (deg): 90.00 90.00 90.00
With the nearest neighbours (Å) after each atom.
Fractional coordinates of all 5 atoms:
Au (0.0000, 0.0000, 0.5000)  2 Ga 2.48
Cs (0.5000, 0.5000, 0.5000)  8 K 4.19
K (0.5000, 0.0000, 0.0000)  2 Ga 3.37
K (0.0000, 0.5000, 0.0000)  2 Ga 3.37
Ga (0.0000, 0.0000, 0.0000)  2 Au 2.48



8.
Material: Tb3Dy7Th
Method: DFT, PBE-GGA
State: optimized geometry

Summary:
**Calculated formation energy**: 186 meV per atom
**Total magnetic moment**: 0.0 μB per formula unit

a b c (Å): 8.6337 7.0392 7.0392
angles (deg): 120.00 90.00 90.00
With the nearest neighbours (Å) after each atom.
Fractional coordinates of all 11 atoms:
Dy (0.1164, 0.6667, 0.3333)  9 Dy 3.51-3.52, 3 Tb 3.55
Dy (0.1205, 0.1694, 0.3388)  8 Dy 3.46-3.58, 1 Th 3.47, 2 Tb 3.55
Dy (0.4484, 0.8323, 0.6647)  7 Dy 3.50-3.54, 2 Th 3.52, 2 Tb 3.52
Dy (0.1205, 0.1694, 0.8306)  8 Dy 3.46-3.58, 1 Th 3.47, 2 Tb 3.55
Dy (0.1205, 0.6612, 0.8306)  8 Dy 3.46-3.58, 1 Th 3.47, 2 Tb 3.55
Dy (0.4484, 0.3353, 0.1677)  7 Dy 3.50-3.54, 2 Th 3.52, 2 Tb 3.52
Dy (0.4484, 0.8323, 0.1677)  7 Dy 3.50-3.54, 2 Th 3.52, 2 Tb 3.52
Tb (0.7812, 0.4984, 0.9967)  4 Tb 3.48-3.55, 1 Th 3.51, 5 Dy 3.52-3.55
Tb (0.7812, 0.0033, 0.5016)  4 Tb 3.48-3.55, 1 Th 3.51, 5 Dy 3.52-3.55
Tb (0.7812, 0.4984, 0.5016)  4 Tb 3.48-3.55, 1 Th 3.51, 5 Dy 3.52-3.55
Th (0.4485, 0.3333, 0.6667)  9 Dy 3.47-3.52, 3 Tb 3.51



9.
Material: Pb2Au2S
Method: DFT, PBE-GGA
State: optimized geometry

Summary:
**Total magnetic moment**: 0.0 μB per formula unit
**E_form (uncorrected)**: -0.399 eV/f.u.

a b c (Å): 3.8700 3.8700 8.6904
angles (deg): 77.13 77.13 90.00
With the nearest neighbours (Å) after each atom.
Fractional coordinates of all 5 atoms:
Au (0.7500, 0.2500, 0.5000)  4 Au 2.74
Au (0.2500, 0.7500, 0.5000)  4 Au 2.74
Pb (0.4010, 0.4010, 0.1981)  4 Au 3.15, 4 S 3.19, 1 Pb 3.27
Pb (0.5990, 0.5990, 0.8019)  4 Au 3.15, 4 S 3.19, 1 Pb 3.27
S (0.0000, 0.0000, 0.0000)  8 Pb 3.19



10.
Material: Ac5Tl2RhO
Method: DFT, PBE-GGA
State: optimized geometry

Summary:
**Total magnetic moment**: 0.0 μB per formula unit
**E_form (uncorrected)**: -8.499 eV/f.u.

a b c (Å): 4.2974 10.1770 14.7479
angles (deg): 90.00 90.00 102.19
With the nearest neighbours (Å) after each atom.
Fractional coordinates of all 18 atoms:
Ac (0.7022, 0.4043, 0.1631)  2 Rh 2.98
Ac (0.5034, 0.0069, 0.2803)  1 O 2.41
Ac (0.9628, 0.9257, 0.5072)  2 O 2.45
Ac (0.3198, 0.6395, 0.3839)  1 O 2.71, 2 Rh 2.99
Ac (0.4966, 0.9931, 0.7803)  1 O 2.41
Ac (0.6802, 0.3605, 0.8839)  1 O 2.71, 2 Rh 2.99
Ac (0.3390, 0.6781, 0.0126)  1 Rh 2.92
Ac (0.2978, 0.5957, 0.6631)  2 Rh 2.98
Ac (0.0372, 0.0743, 0.0072)  2 O 2.45
Ac (0.6610, 0.3219, 0.5126)  1 Rh 2.92
O (0.4522, 0.9044, 0.4282)  3 Ac 2.41-2.45
O (0.5478, 0.0956, 0.9282)  3 Ac 2.41-2.45
Tl (0.1183, 0.2366, 0.6932)  7 Ac 3.48-3.75
Tl (0.8658, 0.7316, 0.8318)  7 Ac 3.46-3.77
Tl (0.8817, 0.7634, 0.1932)  7 Ac 3.48-3.75
Tl (0.1342, 0.2684, 0.3318)  7 Ac 3.46-3.77
Rh (0.1925, 0.3849, 0.0237)  6 Ac 2.92-3.10
Rh (0.8075, 0.6151, 0.5237)  6 Ac 2.92-3.10



11.
Material: Ca3CeSn12
Method: DFT, PBE-GGA
State: optimized geometry

Summary:
**Calculated formation energy**: -417 meV per atom
**Total magnetic moment**: 0.4 μB per formula unit

a b c (Å): 4.7333 4.7333 19.1944
angles (deg): 90.00 90.00 90.00
With the nearest neighbours (Å) after each atom.
Fractional coordinates of all 16 atoms:
Sn (0.5000, 0.5000, 0.5000)  4 Ca 3.35, 8 Sn 3.37
Sn (0.0000, 0.5000, 0.1246)  2 Ca 3.34, 8 Sn 3.35-3.37, 2 Ce 3.36
Sn (0.5000, 0.5000, 0.7503)  4 Ca 3.35, 8 Sn 3.37
Sn (0.5000, 0.5000, 0.0000)  4 Ce 3.35, 8 Sn 3.36
Sn (0.5000, 0.0000, 0.8754)  2 Ca 3.34, 8 Sn 3.35-3.37, 2 Ce 3.36
Sn (0.5000, 0.0000, 0.3749)  8 Sn 3.35-3.37, 4 Ca 3.37-3.40
Sn (0.0000, 0.5000, 0.8754)  2 Ca 3.34, 8 Sn 3.35-3.37, 2 Ce 3.36
Sn (0.5000, 0.0000, 0.6251)  8 Sn 3.35-3.37, 4 Ca 3.37-3.40
Sn (0.5000, 0.0000, 0.1246)  2 Ca 3.34, 8 Sn 3.35-3.37, 2 Ce 3.36
Sn (0.0000, 0.5000, 0.6251)  8 Sn 3.35-3.37, 4 Ca 3.37-3.40
Sn (0.0000, 0.5000, 0.3749)  8 Sn 3.35-3.37, 4 Ca 3.37-3.40
Sn (0.5000, 0.5000, 0.2497)  4 Ca 3.35, 8 Sn 3.37
Ca (0.0000, 0.0000, 0.2474)  12 Sn 3.34-3.40
Ca (0.0000, 0.0000, 0.7526)  12 Sn 3.34-3.40
Ca (0.0000, 0.0000, 0.5000)  12 Sn 3.35-3.37
Ce (0.0000, 0.0000, 0.0000)  12 Sn 3.35-3.36



12.
Material: SiAsRh2
Method: DFT, PBE-GGA
State: optimized geometry

Summary:
**Total magnetic moment**: 0.0 μB per formula unit
**E_form (uncorrected)**: -1.138 eV/f.u.

a b c (Å): 4.5487 4.5487 4.5487
angles (deg): 130.85 121.19 80.10
With the nearest neighbours (Å) after each atom.
Fractional coordinates of all 4 atoms:
Rh (0.5367, 0.5367, 0.0000)  2 Si 2.41, 2 As 2.68
Rh (0.9633, 0.9633, 0.0000)  2 Si 2.41, 2 As 2.68
As (0.2500, 0.7500, 0.5000)  8 Rh 2.68-2.75, 4 Si 2.93
Si (0.7500, 0.2500, 0.5000)  4 Rh 2.41



Computed electronic total energy (eV per atom) in order:
-2.48 -3.80 -6.30 -6.36 -4.40 -5.24 -1.90 -4.68 -3.70 -5.12 -4.17 -6.48